Record 1
Entry from Alexandria via LeMat-Bulk: a geometry-optimized Li2HgBr structure (PBE).

Unit cell a=7.180 b=7.180 c=6.300 alpha=55.26 beta=55.26 gamma=90.00
Element x y z (fractional)
Hg 0.000 0.000 0.000
Hg 0.750 0.250 0.500
Br 0.250 0.750 0.500
Br 0.500 0.500 0.000
Li 0.164 0.625 0.250
Li 0.875 0.836 0.750
Li 0.375 0.414 0.750
Li 0.586 0.125 0.250

Magnetic moment: 0.2 μB/f.u.
Final energy: -2.128 eV per atom
Symmetry: I-42d (122)
ΔE_f (raw): -0.677 eV/atom
E above lowest polymorph: 92 meV/atom

Record 2
Entry from Alexandria via LeMat-Bulk: a geometry-optimized K2ZrAsO6 structure (PBE).

Unit cell a=5.425 b=6.256 c=6.256 alpha=120.00 beta=90.00 gamma=90.00
Each line ends with the local moment (μB).
Element x y z (fractional)
O 0.787 0.727 0.863  0.16
O 0.787 0.137 0.863  0.16
O 0.213 0.273 0.137  0.16
O 0.787 0.137 0.273  0.16
O 0.213 0.863 0.137  0.16
O 0.213 0.863 0.727  0.16
As 0.000 0.000 0.000  -0.02
K 0.891 0.667 0.333  0.00
K 0.109 0.333 0.667  0.00
Zr 0.500 0.000 0.000  -0.05

Magnetic moment: 1.1 μB/f.u.
Final energy: -6.283 eV per atom
Symmetry: P-3m1 (164)
ΔE_f (raw): -1.769 eV/atom

Record 3
Entry from Alexandria via LeMat-Bulk: a geometry-optimized Tl4Pd3 structure (PBE).

Unit cell a=4.447 b=5.753 c=6.911 alpha=105.27 beta=108.77 gamma=90.00
Element x y z (fractional)
Pd 0.212 0.333 0.424
Pd 0.788 0.667 0.576
Pd 0.000 0.000 0.000
Tl 0.172 0.806 0.344
Tl 0.570 0.309 0.140
Tl 0.828 0.194 0.656
Tl 0.430 0.691 0.860

Magnetic moment: 0.0 μB/f.u.
Final energy: -3.732 eV per atom
Symmetry: C2/m (12)
Energy of formation: -0.154 eV per atom

Record 4
Entry from Alexandria via LeMat-Bulk: a geometry-optimized Pt2SeI2 structure (PBE).

Unit cell a=5.844 b=7.193 c=7.809 alpha=115.60 beta=90.00 gamma=113.97
Element x y z (fractional)
Se 0.636 0.272 0.125
Se 0.364 0.728 0.875
Pt 0.515 0.030 0.764
Pt 0.830 0.661 0.399
Pt 0.170 0.339 0.601
Pt 0.485 0.970 0.236
I 0.012 0.023 0.758
I 0.335 0.669 0.394
I 0.665 0.331 0.606
I 0.988 0.977 0.242

Magnetic moment: 0.0 μB/f.u.
Final energy: -3.639 eV per atom
Symmetry: C2/m (12)
ΔE_f (raw): 0.094 eV/atom

Record 5
Entry from Alexandria via LeMat-Bulk: a geometry-optimized MgZr3Si structure (PBE).

Unit cell a=5.002 b=5.002 c=5.002 alpha=90.00 beta=90.00 gamma=90.00
Element x y z (fractional)
Si 0.000 0.000 0.000
Mg 0.500 0.500 0.500
Zr 0.000 0.500 0.000
Zr 0.500 0.000 0.000
Zr 0.000 0.000 0.500

Magnetic moment: 0.0 μB/f.u.
Final energy: -6.459 eV per atom
Symmetry: Pm-3m (221)
ΔE_f (raw): 0.073 eV/atom
E above lowest polymorph: 0 meV/atom

Record 6
Entry from Alexandria via LeMat-Bulk: a geometry-optimized PmTh2Ni6 structure (PBE).

Unit cell a=3.813 b=7.072 c=7.072 alpha=120.00 beta=90.00 gamma=90.00
Element x y z (fractional)
Ni 0.500 0.335 0.000
Ni 0.500 0.665 0.665
Ni 0.500 0.000 0.665
Ni 0.500 0.000 0.335
Ni 0.500 0.335 0.335
Ni 0.500 0.665 0.000
Pm 0.000 0.000 0.000
Th 0.000 0.333 0.667
Th 0.000 0.667 0.333

Magnetic moment: 0.0 μB/f.u.
Final energy: -6.427 eV per atom
Symmetry: P6/mmm (191)
E above lowest polymorph: 0 meV/atom
Energy of formation: -0.396 eV per atom